# ScUWC3 PBE-GGA relaxed
# energy	-10.036	eV/atom
# theoretical density	10.9	g/cm³
# calculated formation energy	-328.5	meV per atom
data_ScUWC3
_chemical_formula_sum 'Sc2 U2 W2 C6'
_space_group_name_H-M_alt 'P 1 21/m 1'
_space_group_IT_number 11
_cell_length_a 5.619
_cell_length_b 3.296
_cell_length_c 8.473
_cell_angle_alpha 90.00
_cell_angle_beta 102.70
_cell_angle_gamma 90.00
loop_
_space_group_symop_operation_xyz
'x,y,z'
'-x,-y,-z'
'-x,y+1/2,-z'
'x,-y+1/2,z'
loop_
_atom_site_label
_atom_site_type_symbol
_atom_site_fract_x
_atom_site_fract_y
_atom_site_fract_z
_atom_site_occupancy
Sc1 Sc 0.228 0.250 0.446 1
U1 U 0.355 0.750 0.806 1
W1 W 0.127 0.750 0.132 1
C1 C 0.060 0.250 0.676 1
C2 C 0.256 0.250 0.015 1
C3 C 0.445 0.750 0.319 1